Compound: CsAc2TlO4
Source: the Alexandria database
Functional: PBE-GGA
Structure: optimized geometry

a = 3.9784 Å, b = 13.6594 Å, c = 14.0175 Å
α = 90.00°, β = 90.00°, γ = 90.00°
With the nearest neighbours (Å) after each atom.
Space group Cmcm (No. 63)
Inequivalent atoms, fractional coordinates:
Cs1 0.0000 0.0204 0.2500  2 O 2.91
Ac1 0.0000 0.3634 0.0497  3 O 2.40-2.44
Tl1 0.0000 0.2578 0.7500  4 O 2.55-2.60
O1 0.0000 0.0000 0.0000  4 Ac 2.82
O2 0.0000 0.2333 0.5696  3 Ac 2.40-2.44, 1 Tl 2.55
O3 0.0000 0.3651 0.2500  2 Tl 2.60, 2 Ac 2.81, 2 Cs 2.91

## Properties
Density of states at the Fermi level, states/eV/atom: 0.0000
Formation energy (no corrections), eV per atom: -2.251

Compound: TlInC3
Source: the Alexandria database
Functional: PBE-GGA
Structure: optimized geometry

a = 4.4785 Å, b = 4.4785 Å, c = 4.4785 Å
α = 90.00°, β = 90.00°, γ = 90.00°
With the nearest neighbours (Å) after each atom.
Space group Pm-3m (No. 221)
Inequivalent atoms, fractional coordinates:
Tl1 0.0000 0.0000 0.0000  6 C 2.24
In1 0.5000 0.5000 0.5000  12 C 3.17
C1 0.0000 0.0000 0.5000  2 Tl 2.24

## Properties
Density of states at the Fermi level, states/eV/atom: 0.8875
ΔH_f (0 K), meV per atom: 3279

Compound: Ce2HfAu
Source: the Alexandria database
Functional: PBE-GGA
Structure: optimized geometry

a = 4.1476 Å, b = 4.1476 Å, c = 5.2520 Å
α = 90.00°, β = 90.00°, γ = 90.00°
With the nearest neighbours (Å) after each atom.
Space group P4/mmm (No. 123)
Inequivalent atoms, fractional coordinates:
Ce1 0.0000 0.5000 0.0000  4 Ce 2.93
Hf1 0.0000 0.0000 0.5000  4 Au 2.93
Au1 0.5000 0.5000 0.5000  4 Hf 2.93

## Properties
Relative energy among the computed polymorphs, meV per atom: 15
Density of states at the Fermi level, states/eV/atom: 2.5824
ΔH_f (0 K), meV per atom: -156

Compound: MgCSe2
Source: the Alexandria database
Functional: PBE-GGA
Structure: optimized geometry

a = 6.5117 Å, b = 6.5117 Å, c = 6.5117 Å
α = 90.00°, β = 90.00°, γ = 90.00°
With the nearest neighbours (Å) after each atom.
Space group Fm-3m (No. 225)
Inequivalent atoms, fractional coordinates:
Mg1 0.0000 0.0000 0.0000  8 Se 2.82
C1 0.0000 0.0000 0.5000  8 Se 2.82
Se1 0.2500 0.2500 0.2500  4 Mg 2.82, 4 C 2.82

## Properties
Relative energy among the computed polymorphs, meV per atom: 630
Density of states at the Fermi level, states/eV/atom: 0.5318
Formation energy (no corrections), eV per atom: 1.156

Compound: TmZrCuOs
Source: the Alexandria database
Functional: PBE-GGA
Structure: optimized geometry

a = 6.6701 Å, b = 6.6701 Å, c = 6.6701 Å
α = 90.00°, β = 90.00°, γ = 90.00°
With the nearest neighbours (Å) after each atom.
Space group F-43m (No. 216)
Inequivalent atoms, fractional coordinates:
Tm1 0.0000 0.0000 0.0000  4 Cu 2.89, 4 Os 2.89
Zr1 0.0000 0.0000 0.5000  4 Os 2.89, 4 Cu 2.89
Cu1 0.2500 0.2500 0.2500  4 Zr 2.89, 4 Tm 2.89
Os1 0.2500 0.2500 0.7500  4 Zr 2.89, 4 Tm 2.89

## Properties
Density of states at the Fermi level, states/eV/atom: 0.7811
ΔH_f (0 K), meV per atom: -317

Compound: Te2WC
Source: the Alexandria database
Functional: PBE-GGA
Structure: optimized geometry

a = 3.2012 Å, b = 3.2012 Å, c = 25.7375 Å
α = 90.00°, β = 90.00°, γ = 120.00°
With the nearest neighbours (Å) after each atom.
Space group R-3m (No. 166, hexagonal axes)
Inequivalent atoms, fractional coordinates:
Te1 0.0000 0.0000 0.1050  3 C 2.44, 1 W 2.70
W1 0.0000 0.0000 0.0000  2 Te 2.70
C1 0.0000 0.0000 0.5000  6 Te 2.44

## Properties
Density of states at the Fermi level, states/eV/atom: 0.8203
Formation energy (no corrections), eV per atom: 1.778

Compound: BeSiW4
Source: the Alexandria database
Functional: PBE-GGA
Structure: optimized geometry

a = 5.8547 Å, b = 5.8547 Å, c = 4.8943 Å
α = 90.00°, β = 90.00°, γ = 90.00°
With the nearest neighbours (Å) after each atom.
Space group P4/mcc (No. 124)
Inequivalent atoms, fractional coordinates:
Be1 0.0000 0.0000 0.2500  2 Be 2.45, 8 W 2.46
Si1 0.5000 0.5000 0.2500  2 Si 2.45, 8 W 2.56
W1 0.1560 0.3293 0.0000  2 Be 2.46, 2 Si 2.56, 1 W 2.71

## Properties
Relative energy among the computed polymorphs, meV per atom: 0
Density of states at the Fermi level, states/eV/atom: 0.7168
Formation energy (no corrections), eV per atom: -0.143

Compound: Ni3RuPt12
Source: the Alexandria database
Functional: PBE-GGA
Structure: optimized geometry

a = 3.8983 Å, b = 3.8983 Å, c = 15.5785 Å
α = 90.00°, β = 90.00°, γ = 90.00°
With the nearest neighbours (Å) after each atom.
Space group P4/mmm (No. 123)
Inequivalent atoms, fractional coordinates:
Ni1 0.0000 0.0000 0.0000  12 Pt 2.74-2.76
Ni2 0.0000 0.0000 0.2484  12 Pt 2.75-2.76
Ru1 0.0000 0.0000 0.5000  12 Pt 2.76-2.77
Pt1 0.0000 0.5000 0.1241  8 Pt 2.74-2.76, 4 Ni 2.74-2.75
Pt2 0.0000 0.5000 0.3733  2 Ni 2.75, 8 Pt 2.76-2.77, 2 Ru 2.77
Pt3 0.5000 0.5000 0.0000  8 Pt 2.74, 4 Ni 2.76
Pt4 0.5000 0.5000 0.2479  8 Pt 2.74-2.76, 4 Ni 2.76
Pt5 0.5000 0.5000 0.5000  4 Ru 2.76, 8 Pt 2.77

## Properties
Density of states at the Fermi level, states/eV/atom: 1.7366
ΔH_f (0 K), meV per atom: -45

Compound: HfF
Source: the Alexandria database
Functional: PBE-GGA
Structure: optimized geometry

a = 5.5520 Å, b = 8.3443 Å, c = 5.8770 Å
α = 90.00°, β = 90.00°, γ = 90.00°
With the nearest neighbours (Å) after each atom.
Space group Cmce (No. 64)
Inequivalent atoms, fractional coordinates:
Hf1 0.0000 0.1979 0.1358  3 F 2.14-2.29
F1 0.0000 0.0552 0.8037  3 Hf 2.14-2.29

## Properties
Relative energy among the computed polymorphs, meV per atom: 431
Density of states at the Fermi level, states/eV/atom: 0.6700
Formation energy (no corrections), eV per atom: -1.705

Compound: TiPtSeBr2
Source: the Alexandria database
Functional: PBE-GGA
Structure: optimized geometry

a = 4.9032 Å, b = 4.9032 Å, c = 5.1354 Å
α = 90.00°, β = 90.00°, γ = 90.00°
With the nearest neighbours (Å) after each atom.
Space group P4/mmm (No. 123)
Inequivalent atoms, fractional coordinates:
Ti1 0.0000 0.0000 0.0000  4 Br 2.45, 2 Se 2.57
Pt1 0.5000 0.5000 0.5000  4 Se 3.47, 8 Br 3.55
Se1 0.0000 0.0000 0.5000  2 Ti 2.57
Br1 0.0000 0.5000 0.0000  2 Ti 2.45

## Properties
Relative energy among the computed polymorphs, meV per atom: 0
Density of states at the Fermi level, states/eV/atom: 1.8992
Formation energy (no corrections), eV per atom: 0.168

Compound: AlCdOs
Source: the Alexandria database
Functional: PBE-GGA
Structure: optimized geometry

a = 6.1620 Å, b = 6.1620 Å, c = 6.1620 Å
α = 90.00°, β = 90.00°, γ = 90.00°
With the nearest neighbours (Å) after each atom.
Space group F-43m (No. 216)
Inequivalent atoms, fractional coordinates:
Al1 0.0000 0.0000 0.0000  4 Os 2.67
Cd1 0.0000 0.0000 0.5000  4 Os 2.67
Os1 0.2500 0.2500 0.7500  4 Al 2.67, 4 Cd 2.67

## Properties
Relative energy among the computed polymorphs, meV per atom: 398
Density of states at the Fermi level, states/eV/atom: 1.5882
ΔH_f (0 K), meV per atom: 495

Compound: Ca2SbRu
Source: the Alexandria database
Functional: PBE-GGA
Structure: optimized geometry

a = 3.4904 Å, b = 3.4904 Å, c = 28.0326 Å
α = 90.00°, β = 90.00°, γ = 120.00°
With the nearest neighbours (Å) after each atom.
Space group R-3m (No. 166, hexagonal axes)
Inequivalent atoms, fractional coordinates:
Ca1 0.0000 0.0000 0.2395  3 Ru 2.87
Sb1 0.0000 0.0000 0.0000  6 Ca 3.31, 6 Sb 3.49
Ru1 0.0000 0.0000 0.5000  6 Ca 2.87

## Properties
Density of states at the Fermi level, states/eV/atom: 0.4718
Formation energy (no corrections), eV per atom: -0.001

Number 1: calculated total energy -197.11 eV for the cell shown. Number 2: calculated total energy -16.38 eV for the cell shown. Number 3: calculated total energy -25.72 eV for the cell shown. Number 4: calculated total energy -52.65 eV for the cell shown. Number 5: calculated total energy -118.46 eV for the cell shown. Number 6: calculated total energy -64.05 eV for the cell shown. Number 7: calculated total energy -123.64 eV for the cell shown. Number 8: calculated total energy -99.84 eV for the cell shown. Number 9: calculated total energy -121.88 eV for the cell shown. Number 10: calculated total energy -19.92 eV for the cell shown. Number 11: calculated total energy -57.61 eV for the cell shown. Number 12: calculated total energy -52.22 eV for the cell shown.